# 1
Material: CdSi2Se
Method: DFT, GGA-PBEsol
State: relaxed

DFT total energy	-0.1402	hartree per atom
V	18.8	Å³ per atom
energy above the most stable polymorph in this dataset	0	meV per atom
raw formation energy	0.321	eV/atom
symmetry	Imm2 (44)

a b c (Å): 2.885 4.563 6.326
angles (deg): 111.18 103.18 90.00
Sites, in units of the cell vectors:
Cd1 0.464 0.463 0.927
Se1 0.264 0.764 0.528
Si1 0.046 0.046 0.091
Si2 0.727 0.227 0.454

***

# 2
Material: LaAl2Ni
Method: DFT, GGA-PBEsol
State: relaxed

DFT total energy	-0.1921	hartree per atom
V	18.1	Å³ per atom
energy of formation	-0.305	eV per atom
symmetry	P4mm (99)

a b c (Å): 3.162 3.162 7.222
angles (deg): 90.00 90.00 90.00
Sites, in units of the cell vectors:
Ni1 0.500 0.500 0.824
Al1 0.000 0.000 0.962
Al2 0.500 0.500 0.192
La1 0.000 0.000 0.522

***

# 3
Material: MgMnRe
Method: DFT, GGA-PBEsol
State: relaxed

DFT total energy	-0.2770	hartree per atom
V	15.5	Å³ per atom
energy above the most stable polymorph in this dataset	544	meV per atom
energy of formation	0.732	eV per atom
symmetry	F-43m (216)

a b c (Å): 4.035 4.035 4.035
angles (deg): 60.00 60.00 60.00
Sites, in units of the cell vectors:
Mg1 0.500 0.500 0.500
Mn1 0.250 0.250 0.250
Re1 0.000 0.000 0.000

***

# 4
Material: Cs2TlSb2
Method: DFT, GGA-PBEsol
State: relaxed

DFT total energy	-0.1101	hartree per atom
V	40.5	Å³ per atom
raw formation energy	-0.271	eV/atom
symmetry	P4/mbm (127)

a b c (Å): 6.132 8.130 8.130
angles (deg): 90.00 90.00 90.00
Sites, in units of the cell vectors:
Cs1 0.500 0.171 0.671
Cs2 0.500 0.671 0.829
Cs3 0.500 0.829 0.329
Cs4 0.500 0.329 0.171
Sb1 0.000 0.376 0.876
Sb2 0.000 0.876 0.624
Sb3 0.000 0.624 0.124
Sb4 0.000 0.124 0.376
Tl1 0.000 0.000 0.000
Tl2 0.000 0.500 0.500

***

# 5
Material: LiCuAu
Method: DFT, GGA-PBEsol
State: relaxed

DFT total energy	-0.1255	hartree per atom
V	16.3	Å³ per atom
energy above the most stable polymorph in this dataset	237	meV per atom
energy of formation	-0.008	eV per atom
symmetry	F-43m (216)

a b c (Å): 4.106 4.106 4.106
angles (deg): 60.00 60.00 60.00
Sites, in units of the cell vectors:
Au1 0.500 0.500 0.500
Cu1 0.250 0.250 0.250
Li1 0.000 0.000 0.000

***

# 6
Material: Si2PBr
Method: DFT, GGA-PBEsol
State: relaxed

DFT total energy	-0.1555	hartree per atom
V	17.0	Å³ per atom
energy above the most stable polymorph in this dataset	498	meV per atom
raw formation energy	0.556	eV/atom
symmetry	Fm-3m (225)

a b c (Å): 4.584 4.584 4.584
angles (deg): 60.00 60.00 60.00
Sites, in units of the cell vectors:
P1 0.000 0.000 0.000
Si1 0.250 0.250 0.250
Si2 0.750 0.750 0.750
Br1 0.500 0.500 0.500